Compound: LuScBr2O2
Source: the Open Quantum Materials Database
Functional: GGA-PBE
Structure: relaxed

## Properties
Its total energy is -41.14 eV/f.u.

Unit cell a=18.302 b=3.845 c=7.241 alpha=90.00 beta=96.01 gamma=90.00
Space group C2/m (No. 12)
Inequivalent atoms, fractional coordinates:
Lu1 0.190 0.000 0.106 x4
Sc1 0.197 0.000 0.609 x4
Br1 0.081 0.000 0.352 x4
Br2 0.100 0.500 0.853 x4
O1 0.243 0.500 0.616 x4
O2 0.245 0.500 0.132 x4

=====

Compound: TmLuS2Br2
Source: the Open Quantum Materials Database
Functional: GGA-PBE
Structure: relaxed

## Properties
Its total energy is -32.63 eV/f.u.

Unit cell a=3.969 b=5.287 c=8.984 alpha=90.00 beta=90.00 gamma=90.00
Space group Pmm2 (No. 25)
Inequivalent atoms, fractional coordinates:
Tm1 0.000 0.000 0.000 x1
Lu1 0.500 0.500 0.249 x1
S1 0.000 0.500 0.047 x1
S2 0.500 0.000 0.204 x1
Br1 0.000 0.500 0.463 x1
Br2 0.500 0.000 0.782 x1

=====

Compound: MgNiBr6
Source: the Open Quantum Materials Database
Functional: GGA-PBE
Structure: relaxed

## Properties
Its total energy is -21.20 eV/f.u.

Unit cell a=6.4750 b=6.4750 c=17.0672 alpha=90.00 beta=90.00 gamma=120.00
Space group R-3 (No. 148, hexagonal axes)
Inequivalent atoms, fractional coordinates:
Mg1 0.0000 0.0000 0.0000 x3
Ni1 0.0000 0.0000 0.5000 x3
Br1 0.0055 0.6923 0.4188 x18

=====

Compound: MgNpS2Br
Source: the Open Quantum Materials Database
Functional: GGA-PBE
Structure: relaxed

## Properties
Its total energy is -30.99 eV/f.u.

Unit cell a=12.551 b=3.899 c=9.168 alpha=90.00 beta=91.71 gamma=90.00
Space group C2/m (No. 12)
Inequivalent atoms, fractional coordinates:
Mg1 0.000 0.000 0.000 x2
Mg2 0.000 0.000 0.500 x2
Np1 0.234 0.500 0.294 x4
S1 0.080 0.000 0.249 x4
S2 0.140 0.500 0.563 x4
Br1 0.145 0.500 0.938 x4